[1]
SiPt2 after structural relaxation, computed with PBE. Values from VASP.

```
&SYSTEM
  ibrav = 0, nat = 3, ntyp = 2
/
ATOMIC_SPECIES
Pt 195.08 Pt.upf
Si 28.09 Si.upf
CELL_PARAMETERS angstrom
-3.979 0.000 0.000
0.000 -3.979 0.000
1.990 1.990 2.991
ATOMIC_POSITIONS angstrom
Pt -1.990 0.000 1.495
Pt 0.000 -1.990 1.495
Si 0.000 0.000 0.000
```

Symmetry: I4/mmm, No. 139
E (eV per atom): -6.568

***

[2]
PmSmNO after structural relaxation, computed with PBE. Values from VASP.

```
&SYSTEM
  ibrav = 0, nat = 8, ntyp = 4
/
ATOMIC_SPECIES
O 16.00 O.upf
N 14.01 N.upf
Pm 145.00 Pm.upf
Sm 150.36 Sm.upf
CELL_PARAMETERS angstrom
4.301 0.000 0.000
0.000 4.301 0.000
0.000 0.000 8.222
ATOMIC_POSITIONS angstrom
O 2.151 2.151 0.000
O 0.000 0.000 0.000
N 0.000 2.151 2.975
N 2.151 0.000 5.248
Pm 2.151 2.151 4.111
Pm 0.000 0.000 4.111
Sm 0.000 2.151 7.307
Sm 2.151 0.000 0.916
```

Symmetry: P4/nmm, No. 129
E (eV per atom): -7.274
Offset from the most stable computed form (eV/atom): 0.4826

***

[3]
Ho7Ni2Se2 after structural relaxation, computed with PBE. Values from VASP.

```
&SYSTEM
  ibrav = 0, nat = 11, ntyp = 3
/
ATOMIC_SPECIES
Ni 58.69 Ni.upf
Ho 164.93 Ho.upf
Se 78.96 Se.upf
CELL_PARAMETERS angstrom
0.939 -8.942 1.018
-4.310 4.616 6.480
0.816 -4.346 -7.895
ATOMIC_POSITIONS angstrom
Ni -2.185 -4.139 -0.442
Ni -3.024 2.209 2.843
Ho -0.830 -4.290 -3.818
Ho 0.125 -2.714 -0.829
Ho 1.231 -11.086 -5.161
Ho -1.156 -3.653 2.158
Ho 0.208 -9.444 -2.319
Ho -2.335 -0.619 0.600
Ho -0.231 -6.126 -0.602
Se 0.825 -6.712 -3.320
Se -3.097 -3.974 6.888
```

Symmetry: Imm2, No. 44
E (eV per atom): -5.371

***

[4]
LuMgInPd after structural relaxation, computed with PBE. Values from VASP.

```
&SYSTEM
  ibrav = 0, nat = 4, ntyp = 4
/
ATOMIC_SPECIES
Pd 106.42 Pd.upf
In 114.82 In.upf
Lu 174.97 Lu.upf
Mg 24.30 Mg.upf
CELL_PARAMETERS angstrom
0.000 3.422 3.422
3.422 0.000 3.422
3.422 3.422 0.000
ATOMIC_POSITIONS angstrom
Pd 0.000 0.000 0.000
In 1.711 1.711 1.711
Lu 3.422 3.422 3.422
Mg 5.133 5.133 5.133
```

Symmetry: F-43m, No. 216
E (eV per atom): -3.904
Offset from the most stable computed form (eV/atom): 0.1318

***

no.,total magnetization (μB/f.u.)
1,0.00
2,0.71
3,0.02
4,0.00